20
Lattice="7.074 -7.520 0.000 7.074 7.520 0.000 -2.744 0.000 7.172" Properties=species:S:1:pos:R:3 comment="RbTlSn2Se6 (PBE, relaxed)" raw_formation_energy_kj_per_mol_fu=-365 e_tot_ev_per_atom=-3.603 pbc="T T T"
Rb 5.016 5.655 5.379
Rb 6.388 -5.655 1.793
Tl 6.388 4.001 1.793
Tl 5.016 -4.001 5.379
Sn 1.998 1.060 5.878
Sn 3.370 -1.060 2.292
Sn 8.034 1.060 4.881
Sn 9.406 -1.060 1.295
Se -0.418 1.183 5.085
Se 2.671 3.456 6.579
Se 0.954 -1.183 1.499
Se 3.778 0.886 3.932
Se 7.361 3.456 4.180
Se 5.150 -0.886 0.346
Se 6.254 0.886 6.826
Se 4.043 -3.456 2.992
Se 7.626 -0.886 3.240
Se 10.450 1.183 5.673
Se 8.734 -3.456 0.594
Se 11.822 -1.183 2.087